(1)
Density functional theory data (PBE-GGA) for crystalline TmCd7Au4 at its relaxed geometry.

a b c (Å): 12.2213 5.4256 10.0967
angles (deg): 90.00 124.99 90.00
With the nearest neighbours (Å) after each atom.
Space group C2/m (No. 12)
One atom of each set of equivalent atoms:
Tm 0.0000 0.0000 0.0000 (multiplicity 2)  2 Cd 2.71
Cd 0.0000 0.5000 0.0000 (multiplicity 2)  2 Tm 2.71, 4 Au 2.78-2.84, 2 Cd 3.03
Cd 0.0641 0.0000 0.3627 (multiplicity 4)  3 Au 2.75-3.07, 2 Cd 2.82-3.07
Cd 0.1608 0.5000 0.5812 (multiplicity 4)  5 Au 2.75-3.07, 1 Cd 3.07
Cd 0.2113 0.0000 0.8887 (multiplicity 4)  2 Cd 2.82-3.03, 4 Au 2.85-3.05
Au 0.0728 0.5000 0.7782 (multiplicity 4)  8 Cd 2.75-3.07, 1 Au 2.96
Au 0.2083 0.5000 0.3267 (multiplicity 4)  6 Cd 2.75-3.01, 1 Au 2.96

(2)
Density functional theory data (PBE-GGA) for crystalline TlPOs2 at its relaxed geometry.

Calculated values
* energy relative to the lowest polymorph listed for this composition: 151 meV per atom

a b c (Å): 2.8843 4.2605 6.4181
angles (deg): 90.00 90.03 90.00
With the nearest neighbours (Å) after each atom.
Space group Pm (No. 6)
One atom of each set of equivalent atoms:
Tl 0.0000 0.0000 0.0000 (multiplicity 1)  2 Tl 2.88, 4 Os 3.02-3.21
P 0.4976 0.5000 0.6279 (multiplicity 1)  4 Os 2.38-2.43
Os 0.4974 0.0000 0.4456 (multiplicity 1)  2 P 2.43, 4 Os 2.67
Os 0.9972 0.5000 0.3325 (multiplicity 1)  2 P 2.38

| no. | energy of formation (meV per atom) | V (Å³/atom) |
| --- | --- | --- |
| 1 | -29 | 22.85 |
| 2 | 544 | 19.72 |